(1)
Compound: Al2HgP
Source: Alexandria
Functional: GGA-PBE
Structure: optimized geometry

Results
- relative energy among the computed polymorphs (eV per atom) = 0.2362
- uncorrected energy (eV per atom) = -3.1792
- formation enthalpy at 0 K (eV per atom) = 0.12
- magnetization (μB per formula unit) = 0.00

a = 3.1054 Å, b = 3.2599 Å, c = 7.2008 Å
α = 90.00°, β = 90.00°, γ = 90.00°
With the nearest neighbours (Å) after each atom.
Space group Pmmm (No. 47)
One atom of each set of equivalent atoms:
Al 0.0000 0.0000 0.1952  4 P 2.65, 1 Al 2.81
Hg 0.5000 0.5000 0.5000  4 Hg 3.11-3.26, 8 Al 3.14
P 0.5000 0.5000 0.0000  8 Al 2.65

***

(2)
Compound: ZrAgAu
Source: Alexandria
Functional: GGA-PBE
Structure: optimized geometry

Results
- relative energy among the computed polymorphs (eV per atom) = 0.0000
- uncorrected energy (eV per atom) = -5.2195
- formation enthalpy at 0 K (eV per atom) = -0.33
- magnetization (μB per formula unit) = 0.24

a = 5.0367 Å, b = 5.1142 Å, c = 5.1161 Å
α = 60.88°, β = 89.84°, γ = 89.91°
With the nearest neighbours (Å) after each atom.
Space group P-1 (No. 2)
One atom of each set of equivalent atoms:
Zr 0.2499 0.0188 0.2706  5 Au 2.89-3.05, 5 Ag 2.94-3.03
Ag 0.2499 0.3531 0.6125  2 Ag 2.87, 3 Au 2.94-3.02, 5 Zr 2.94-3.03
Au 0.2500 0.6783 0.9534  5 Zr 2.89-3.05, 3 Ag 2.94-3.02, 2 Au 3.01

***

(3)
Compound: AcTbYTh
Source: Alexandria
Functional: GGA-PBE
Structure: optimized geometry

Results
- relative energy among the computed polymorphs (eV per atom) = 0.1041
- uncorrected energy (eV per atom) = -5.5122
- formation enthalpy at 0 K (eV per atom) = 0.14
- magnetization (μB per formula unit) = 0.00

a = 8.2434 Å, b = 8.2434 Å, c = 8.2434 Å
α = 90.00°, β = 90.00°, γ = 90.00°
With the nearest neighbours (Å) after each atom.
Space group F-43m (No. 216)
One atom of each set of equivalent atoms:
Ac 0.0000 0.0000 0.0000  4 Tb 3.57, 4 Y 3.57
Tb 0.2500 0.2500 0.2500  4 Th 3.57, 4 Ac 3.57
Y 0.2500 0.2500 0.7500  4 Ac 3.57, 4 Th 3.57
Th 0.0000 0.0000 0.5000  4 Y 3.57, 4 Tb 3.57

***

(4)
Compound: MnI2BrN
Source: Alexandria
Functional: GGA-PBE
Structure: optimized geometry

Results
- relative energy among the computed polymorphs (eV per atom) = 0.9884
- uncorrected energy (eV per atom) = -3.1071
- formation energy (no corrections) (meV/atom) = 1346
- magnetization (μB per formula unit) = 4.74

a = 6.3234 Å, b = 6.3234 Å, c = 3.7397 Å
α = 90.00°, β = 90.00°, γ = 90.00°
With the nearest neighbours (Å) after each atom.
Space group P4/mmm (No. 123)
One atom of each set of equivalent atoms:
Mn 0.0000 0.0000 0.0000  8 I 3.67, 2 Mn 3.74
I 0.0000 0.5000 0.5000  2 Br 3.16
Br 0.5000 0.5000 0.5000  2 N 1.87
N 0.5000 0.5000 0.0000  2 Br 1.87

***

(5)
Compound: ZnTeBrN2
Source: Alexandria
Functional: GGA-PBE
Structure: optimized geometry

Results
- relative energy among the computed polymorphs (eV per atom) = 0.0000
- uncorrected energy (eV per atom) = -3.0813
- formation energy (no corrections) (meV/atom) = 1467
- magnetization (μB per formula unit) = 4.17

a = 4.1457 Å, b = 4.1457 Å, c = 6.1940 Å
α = 90.00°, β = 90.00°, γ = 90.00°
With the nearest neighbours (Å) after each atom.
Space group P4/mmm (No. 123)
One atom of each set of equivalent atoms:
Zn 0.0000 0.0000 0.0000  4 N 2.07
Te 0.0000 0.0000 0.5000  4 Br 2.93, 2 Zn 3.10
Br 0.5000 0.5000 0.5000  4 Te 2.93
N 0.0000 0.5000 0.0000  2 Zn 2.07

***

(6)
Compound: Ce3Cu5S12
Source: Alexandria
Functional: GGA-PBE
Structure: optimized geometry

Results
- uncorrected energy (eV per atom) = -5.1818
- formation energy (no corrections) (meV/atom) = -791
- magnetization (μB per formula unit) = 0.00

a = 14.7496 Å, b = 14.7496 Å, c = 14.7496 Å
α = 90.00°, β = 90.00°, γ = 90.00°
With the nearest neighbours (Å) after each atom.
Space group Ia-3d (No. 230)
One atom of each set of equivalent atoms:
Ce 0.0000 0.2500 0.1250  8 S 2.82-2.88
Cu 0.0000 0.0000 0.0000  6 S 2.39
Cu 0.0000 0.2500 0.3750  4 S 2.25
S 0.0266 0.0581 0.6486  2 Cu 2.25-2.39